Compound: K2PrYO4
Source: Alexandria via LeMat-Bulk
Functional: PBE
Structure: relaxed

Cell lengths 3.5872, 6.2093, 6.6260 Å; angles 108.14, 90.00, 90.00 degrees
Closest atoms and distances in Å follow each position.
Atoms (fractional coordinates):
K: 0.5000 0.0000 0.5000  6 O 2.88-2.89
K: 0.0000 0.5000 0.5000  6 O 2.81-2.82
Pr: 0.0000 0.0000 0.0000  6 O 2.42-2.43
Y: 0.5000 0.5000 0.0000  6 O 2.33-2.36
O: 0.5000 0.2409 0.1903  1 Y 2.33, 2 Pr 2.42
O: 0.5000 0.7591 0.8097  1 Y 2.33, 2 Pr 2.42
O: 0.0000 0.2799 0.8120  2 Y 2.36, 1 Pr 2.43
O: 0.0000 0.7201 0.1880  2 Y 2.36, 1 Pr 2.43

Calculated values
ΔE_f (raw) = -2.650 eV per atom
symmetry = P2/m, No. 10
uncorrected energy = -0.5004 Ry per atom
Fermi-level density of states = 0.00 states/eV/f.u.

Compound: MnIn2Ru
Source: Alexandria via LeMat-Bulk
Functional: PBE
Structure: relaxed

Cell lengths 9.1641, 9.1641, 9.1641 Å; angles 19.45, 19.45, 19.45 degrees
Closest atoms and distances in Å follow each position.
Atoms (fractional coordinates):
In: 0.0091 0.0091 0.0091  3 Ru 2.86, 6 In 3.10
In: 0.2423 0.2423 0.2423  3 Mn 2.92, 9 In 3.10-3.24
Mn: 0.4899 0.4899 0.4899  3 Ru 2.50
Ru: 0.7587 0.7587 0.7587  3 Mn 2.50

Calculated values
symmetry = R3m, No. 160
uncorrected energy = -0.4182 Ry per atom
Fermi-level density of states = 2.61 states/eV/f.u.
formation energy from the elements = 0.2910 eV per atom

Compound: NpZn5Au2
Source: Alexandria via LeMat-Bulk
Functional: PBE
Structure: relaxed

Cell lengths 2.9189, 7.1450, 7.1450 Å; angles 75.34, 78.21, 78.21 degrees
Closest atoms and distances in Å follow each position.
Atoms (fractional coordinates):
Np: 0.0000 0.0000 0.0000  2 Np 2.92, 8 Zn 3.14, 4 Au 3.15
Zn: 0.0000 0.5000 0.5000  2 Au 2.67, 10 Zn 2.85-2.92
Zn: 0.6305 0.5969 0.1421  3 Au 2.74-2.76, 7 Zn 2.85-3.02
Zn: 0.3695 0.4031 0.8579  3 Au 2.74-2.76, 7 Zn 2.85-3.02
Zn: 0.3695 0.8579 0.4031  3 Au 2.74-2.76, 7 Zn 2.85-3.02
Zn: 0.6305 0.1421 0.5969  3 Au 2.74-2.76, 7 Zn 2.85-3.02
Au: 0.7554 0.7446 0.7446  7 Zn 2.67-2.76, 2 Au 2.92
Au: 0.2446 0.2554 0.2554  7 Zn 2.67-2.76, 2 Au 2.92

Calculated values
symmetry = Immm, No. 71
uncorrected energy = -0.2462 Ry per atom
Fermi-level density of states = 6.35 states/eV/f.u.
formation energy from the elements = -0.1167 eV per atom

Compound: MgS2I
Source: Alexandria via LeMat-Bulk
Functional: PBE
Structure: relaxed

Cell lengths 9.1168, 9.1168, 9.1168 Å; angles 24.01, 24.01, 24.01 degrees
Closest atoms and distances in Å follow each position.
Atoms (fractional coordinates):
I: 0.5000 0.5000 0.5000  6 S 3.03
S: 0.9122 0.9122 0.9122  1 Mg 2.33
S: 0.0878 0.0878 0.0878  1 Mg 2.33
Mg: 0.0000 0.0000 0.0000  2 S 2.33

Calculated values
ΔE_f (raw) = 0.455 eV per atom
symmetry = R-3m, No. 166
uncorrected energy = -0.1761 Ry per atom
Fermi-level density of states = 3.14 states/eV/f.u.